1.
The following is a PBE calculation of LaSe2O after structural relaxation, from the Alexandria database.

Cell lengths 8.1224, 8.1224, 8.1224 Å; angles 141.34, 141.34, 55.83 degrees
Closest atoms and distances in Å follow each position.
Fractional coordinates of all 8 atoms:
La  0.0000  0.0000  0.0000  4 Se 2.96
La  0.7500  0.2500  0.5000  4 Se 2.96
Se  0.2339  0.6250  0.1089  2 O 2.37
Se  0.3750  0.4839  0.6089  2 O 2.37
Se  0.5161  0.1250  0.8911  2 O 2.37
Se  0.8750  0.7661  0.3911  2 O 2.37
O  0.2500  0.7500  0.5000  4 Se 2.37
O  0.5000  0.5000  0.0000  4 Se 2.37

## Properties
Formation energy (no corrections) (kJ per mole of atoms): -57.9
Energy (eV per cell): -38.51
Space-group type: No. 122
Spin magnetization (μB per cell): 0.00

***

2.
The following is a PBE calculation of La3Se3O2 after structural relaxation, from the Alexandria database.

Cell lengths 6.9861, 6.9861, 13.7061 Å; angles 90.00, 90.00, 145.59 degrees
Closest atoms and distances in Å follow each position.
Fractional coordinates of all 16 atoms:
La  0.1444  0.8556  0.5427  3 O 2.29-2.48
La  0.1444  0.8556  0.9573  3 O 2.29-2.48
La  0.1874  0.8126  0.2500  2 O 2.52
La  0.8126  0.1874  0.7500  2 O 2.52
La  0.8556  0.1444  0.0427  3 O 2.29-2.48
La  0.8556  0.1444  0.4573  3 O 2.29-2.48
Se  0.1608  0.8392  0.7500  4 La 2.85-2.89
Se  0.4608  0.5392  0.6123  1 Se 3.25, 6 La 3.28-3.43, 2 O 3.63
Se  0.4608  0.5392  0.8877  1 Se 3.25, 6 La 3.28-3.43, 2 O 3.63
Se  0.5392  0.4608  0.1123  1 Se 3.25, 6 La 3.28-3.43, 2 O 3.63
Se  0.5392  0.4608  0.3877  1 Se 3.25, 6 La 3.28-3.43, 2 O 3.63
Se  0.8392  0.1608  0.2500  4 La 2.85-2.89
O  0.2605  0.7395  0.0802  4 La 2.29-2.52
O  0.2605  0.7395  0.4198  4 La 2.29-2.52
O  0.7395  0.2605  0.5802  4 La 2.29-2.52
O  0.7395  0.2605  0.9198  4 La 2.29-2.52

## Properties
Formation energy (no corrections) (kJ per mole of atoms): -236.7
Energy (eV per cell): -109.56
Space-group type: No. 63
Spin magnetization (μB per cell): 0.00

***

3.
The following is a PBE calculation of LaSeO3 after structural relaxation, from the Alexandria database.

Cell lengths 6.2743, 7.3349, 7.9629 Å; angles 90.00, 114.38, 90.00 degrees
Closest atoms and distances in Å follow each position.
Fractional coordinates of all 20 atoms:
La  0.1297  0.1274  0.3717  3 O 2.32-2.45
La  0.1297  0.3726  0.8717  3 O 2.32-2.45
La  0.8703  0.6274  0.1283  3 O 2.32-2.45
La  0.8703  0.8726  0.6283  3 O 2.32-2.45
Se  0.3837  0.6360  0.6198  2 O 1.71-1.74
Se  0.3837  0.8640  0.1198  2 O 1.71-1.74
Se  0.6163  0.1360  0.8802  2 O 1.71-1.74
Se  0.6163  0.3640  0.3802  2 O 1.71-1.74
O  0.0041  0.1637  0.6083  3 La 2.32-2.45
O  0.0041  0.3363  0.1083  3 La 2.32-2.45
O  0.2592  0.0348  0.9631  1 Se 1.71
O  0.2592  0.4652  0.4631  1 Se 1.71
O  0.4835  0.5274  0.8332  1 Se 1.74
O  0.4835  0.9726  0.3332  1 Se 1.74
O  0.5165  0.0274  0.6668  1 Se 1.74
O  0.5165  0.4726  0.1668  1 Se 1.74
O  0.7408  0.5348  0.5369  1 Se 1.71
O  0.7408  0.9652  0.0369  1 Se 1.71
O  0.9959  0.6637  0.8917  3 La 2.32-2.45
O  0.9959  0.8363  0.3917  3 La 2.32-2.45

## Properties
Formation energy (no corrections) (kJ per mole of atoms): -191.4
Energy (eV per cell): -132.82
Space-group type: No. 14
Spin magnetization (μB per cell): 0.00

***

4.
The following is a PBE calculation of La2SeO after structural relaxation, from the Alexandria database.

Cell lengths 7.1065, 7.1065, 7.1065 Å; angles 32.01, 32.01, 32.01 degrees
Closest atoms and distances in Å follow each position.
Fractional coordinates of all 4 atoms:
La  0.2334  0.2334  0.2334  3 O 2.63
La  0.7666  0.7666  0.7666  3 O 2.63
Se  0.0000  0.0000  0.0000  6 La 3.03
O  0.5000  0.5000  0.5000  6 La 2.63

## Properties
Relative energy among the computed polymorphs (eV/atom): 0.000
Formation energy (no corrections) (kJ per mole of atoms): -226.4
Energy (eV per cell): -27.68
Space-group type: No. 166
Spin magnetization (μB per cell): 0.00

***

5.
The following is a PBE calculation of La4Se3O2 after structural relaxation, from the Alexandria database.

Cell lengths 7.0375, 7.0375, 9.3299 Å; angles 121.15, 121.15, 33.97 degrees
Closest atoms and distances in Å follow each position.
Fractional coordinates of all 9 atoms:
La  0.1066  0.1066  0.3944  3 O 2.40-2.42
La  0.3144  0.3144  0.8902  1 O 2.39
La  0.6856  0.6856  0.1098  1 O 2.39
La  0.8934  0.8934  0.6056  3 O 2.40-2.42
Se  0.0000  0.0000  0.0000  6 La 2.96-3.14
Se  0.3869  0.3869  0.2797  5 La 3.07-3.27
Se  0.6131  0.6131  0.7203  5 La 3.07-3.27
O  0.3093  0.3093  0.6297  4 La 2.39-2.42
O  0.6907  0.6907  0.3703  4 La 2.39-2.42

## Properties
Relative energy among the computed polymorphs (eV/atom): 0.000
Formation energy (no corrections) (kJ per mole of atoms): -245.6
Energy (eV per cell): -62.99
Space-group type: No. 12
Spin magnetization (μB per cell): 0.00

***

6.
The following is a PBE calculation of LaSe3O12 after structural relaxation, from the Alexandria database.

Cell lengths 10.6415, 10.6415, 10.6415 Å; angles 49.17, 49.17, 49.17 degrees
Closest atoms and distances in Å follow each position.
Fractional coordinates of all 32 atoms:
La  0.0000  0.0000  0.0000  9 O 2.45-2.68
La  0.5000  0.5000  0.5000  9 O 2.45-2.68
Se  0.0972  0.3668  0.7284  4 O 1.66-1.70
Se  0.2284  0.8668  0.5972  4 O 1.66-1.70
Se  0.3668  0.7284  0.0972  4 O 1.66-1.70
Se  0.5972  0.2284  0.8668  4 O 1.66-1.70
Se  0.7284  0.0972  0.3668  4 O 1.66-1.70
Se  0.8668  0.5972  0.2284  4 O 1.66-1.70
O  0.0713  0.4664  0.1267  1 Se 1.67
O  0.1267  0.0713  0.4664  1 Se 1.67
O  0.1539  0.2102  0.6786  1 Se 1.69
O  0.1775  0.8670  0.7819  1 Se 1.66
O  0.1786  0.7102  0.6539  1 Se 1.69
O  0.2102  0.6786  0.1539  1 Se 1.69
O  0.2819  0.3670  0.6775  1 Se 1.66
O  0.2936  0.9551  0.9755  1 Se 1.70
O  0.3670  0.6775  0.2819  1 Se 1.66
O  0.4551  0.7936  0.4755  1 Se 1.70
O  0.4664  0.1267  0.0713  1 Se 1.67
O  0.4755  0.4551  0.7936  1 Se 1.70
O  0.5713  0.6267  0.9664  1 Se 1.67
O  0.6267  0.9664  0.5713  1 Se 1.67
O  0.6539  0.1786  0.7102  1 Se 1.69
O  0.6775  0.2819  0.3670  1 Se 1.66
O  0.6786  0.1539  0.2102  1 Se 1.69
O  0.7102  0.6539  0.1786  1 Se 1.69
O  0.7819  0.1775  0.8670  1 Se 1.66
O  0.7936  0.4755  0.4551  1 Se 1.70
O  0.8670  0.7819  0.1775  1 Se 1.66
O  0.9551  0.9755  0.2936  1 Se 1.70
O  0.9664  0.5713  0.6267  1 Se 1.67
O  0.9755  0.2936  0.9551  1 Se 1.70

## Properties
Relative energy among the computed polymorphs (eV/atom): 0.031
Formation energy (no corrections) (kJ per mole of atoms): -72.1
Energy (eV per cell): -173.67
Space-group type: No. 161
Spin magnetization (μB per cell): 6.02

***

7.
The following is a PBE calculation of La4Se3O4 after structural relaxation, from the Alexandria database.

Cell lengths 7.8763, 7.8763, 7.8763 Å; angles 147.66, 122.67, 67.38 degrees
Closest atoms and distances in Å follow each position.
Fractional coordinates of all 11 atoms:
La  0.2273  0.2273  0.0000  6 O 2.64-2.74
La  0.2531  0.5000  0.7531  2 O 2.32
La  0.7469  0.5000  0.2469  2 O 2.32
La  0.7727  0.7727  0.0000  6 O 2.64-2.74
Se  0.0000  0.0000  0.0000  6 La 2.91-2.98
Se  0.4068  0.9068  0.5000  1 Se 2.44
Se  0.5932  0.0932  0.5000  1 Se 2.44
O  0.0219  0.3261  0.6958  1 La 2.32
O  0.3697  0.6739  0.6958  1 La 2.32
O  0.6303  0.3261  0.3042  1 La 2.32
O  0.9781  0.6739  0.3042  1 La 2.32

## Properties
Formation energy (no corrections) (kJ per mole of atoms): -235.7
Energy (eV per cell): -76.87
Space-group type: No. 71
Spin magnetization (μB per cell): 0.00

***

8.
The following is a PBE calculation of LaSe2O after structural relaxation, from the Alexandria database.

Cell lengths 4.6125, 4.6125, 4.6125 Å; angles 72.02, 72.02, 72.02 degrees
Closest atoms and distances in Å follow each position.
Fractional coordinates of all 4 atoms:
La  0.0000  0.0000  0.0000  8 Se 3.03-3.15
Se  0.2981  0.2981  0.2981  1 O 2.05
Se  0.7019  0.7019  0.7019  1 O 2.05
O  0.5000  0.5000  0.5000  2 Se 2.05

## Properties
Formation energy (no corrections) (kJ per mole of atoms): -88.0
Energy (eV per cell): -20.50
Space-group type: No. 166
Spin magnetization (μB per cell): 0.00

***

9.
The following is a PBE calculation of LaSe3O12 after structural relaxation, from the Alexandria database.

Cell lengths 9.9196, 9.9196, 6.4711 Å; angles 90.00, 90.00, 120.00 degrees
Closest atoms and distances in Å follow each position.
Fractional coordinates of all 32 atoms:
La  0.3333  0.6667  0.2500  9 O 2.51-2.55
La  0.6667  0.3333  0.7500  9 O 2.51-2.55
Se  0.0960  0.3925  0.7500  4 O 1.67-1.68
Se  0.2964  0.9040  0.7500  4 O 1.67-1.68
Se  0.3925  0.2964  0.2500  4 O 1.67-1.68
Se  0.6075  0.7036  0.7500  4 O 1.67-1.68
Se  0.7036  0.0960  0.2500  4 O 1.67-1.68
Se  0.9040  0.6075  0.2500  4 O 1.67-1.68
O  0.0314  0.2017  0.7500  1 Se 1.67
O  0.0451  0.5630  0.2500  1 Se 1.67
O  0.1703  0.9686  0.7500  1 Se 1.67
O  0.2017  0.1703  0.2500  1 Se 1.67
O  0.2091  0.4692  0.5411  1 Se 1.68
O  0.2091  0.4692  0.9589  1 Se 1.68
O  0.2601  0.7909  0.5411  1 Se 1.68
O  0.2601  0.7909  0.9589  1 Se 1.68
O  0.4370  0.4821  0.2500  1 Se 1.67
O  0.4692  0.2601  0.0411  1 Se 1.68
O  0.4692  0.2601  0.4589  1 Se 1.68
O  0.4821  0.0451  0.7500  1 Se 1.67
O  0.5179  0.9549  0.2500  1 Se 1.67
O  0.5308  0.7399  0.5411  1 Se 1.68
O  0.5308  0.7399  0.9589  1 Se 1.68
O  0.5630  0.5179  0.7500  1 Se 1.67
O  0.7399  0.2091  0.0411  1 Se 1.68
O  0.7399  0.2091  0.4589  1 Se 1.68
O  0.7909  0.5308  0.0411  1 Se 1.68
O  0.7909  0.5308  0.4589  1 Se 1.68
O  0.7983  0.8297  0.7500  1 Se 1.67
O  0.8297  0.0314  0.2500  1 Se 1.67
O  0.9549  0.4370  0.7500  1 Se 1.67
O  0.9686  0.7983  0.2500  1 Se 1.67

## Properties
Relative energy among the computed polymorphs (eV/atom): 0.000
Formation energy (no corrections) (kJ per mole of atoms): -75.1
Energy (eV per cell): -174.66
Space-group type: No. 176
Spin magnetization (μB per cell): 6.11

***

10.
The following is a PBE calculation of LaSeO2 after structural relaxation, from the Alexandria database.

Cell lengths 6.4030, 6.4030, 6.4030 Å; angles 34.98, 34.98, 34.98 degrees
Closest atoms and distances in Å follow each position.
Fractional coordinates of all 4 atoms:
La  0.0000  0.0000  0.0000  6 O 2.42
Se  0.5000  0.5000  0.5000  2 O 2.05
O  0.3864  0.3864  0.3864  1 Se 2.05
O  0.6136  0.6136  0.6136  1 Se 2.05

## Properties
Formation energy (no corrections) (kJ per mole of atoms): -199.5
Energy (eV per cell): -26.60
Space-group type: No. 166
Spin magnetization (μB per cell): 0.00

***

11.
The following is a PBE calculation of La2Se2O after structural relaxation, from the Alexandria database.

Cell lengths 9.0225, 7.5078, 7.4552 Å; angles 90.00, 99.40, 90.00 degrees
Closest atoms and distances in Å follow each position.
Fractional coordinates of all 20 atoms:
La  0.0754  0.1439  0.3227  3 O 2.44-2.48
La  0.0754  0.3561  0.8227  3 O 2.44-2.48
La  0.3562  0.5520  0.2445  1 O 2.41
La  0.3562  0.9480  0.7445  1 O 2.41
La  0.6438  0.0520  0.2555  1 O 2.41
La  0.6438  0.4480  0.7555  1 O 2.41
La  0.9246  0.6439  0.1773  3 O 2.44-2.48
La  0.9246  0.8561  0.6773  3 O 2.44-2.48
Se  0.1767  0.6351  0.5621  5 La 3.05-3.36
Se  0.1767  0.8649  0.0621  5 La 3.05-3.36
Se  0.4219  0.2250  0.4724  5 La 2.99-3.20
Se  0.4219  0.2750  0.9724  5 La 2.99-3.20
Se  0.5781  0.7250  0.0276  5 La 2.99-3.20
Se  0.5781  0.7750  0.5276  5 La 2.99-3.20
Se  0.8233  0.1351  0.9379  5 La 3.05-3.36
Se  0.8233  0.3649  0.4379  5 La 3.05-3.36
O  0.1143  0.0843  0.6482  4 La 2.41-2.48
O  0.1143  0.4157  0.1482  4 La 2.41-2.48
O  0.8857  0.5843  0.8518  4 La 2.41-2.48
O  0.8857  0.9157  0.3518  4 La 2.41-2.48

## Properties
Relative energy among the computed polymorphs (eV/atom): 0.000
Formation energy (no corrections) (kJ per mole of atoms): -249.5
Energy (eV per cell): -138.84
Space-group type: No. 14
Spin magnetization (μB per cell): 0.00

***

12.
The following is a PBE calculation of LaSe2O2 after structural relaxation, from the Alexandria database.

Cell lengths 5.2703, 5.2703, 5.2703 Å; angles 128.73, 128.73, 75.45 degrees
Closest atoms and distances in Å follow each position.
Fractional coordinates of all 5 atoms:
La  0.0000  0.0000  0.0000  2 Se 3.04, 8 O 3.09
Se  0.3647  0.3647  0.0000  1 Se 2.26, 4 O 2.47
Se  0.6353  0.6353  0.0000  1 Se 2.26, 4 O 2.47
O  0.2500  0.7500  0.5000  4 Se 2.47
O  0.7500  0.2500  0.5000  4 Se 2.47

## Properties
Relative energy among the computed polymorphs (eV/atom): 0.037
Formation energy (no corrections) (kJ per mole of atoms): -57.3
Energy (eV per cell): -24.78
Space-group type: No. 139
Spin magnetization (μB per cell): 0.00